First-principles (PBE) data for an optimized crystal structure of YTm12Th5, as listed in the Alexandria database.

```
YTm12Th5
1.0
7.427 -7.504 0.000
7.427 7.504 0.000
0.000 0.000 5.011
Y Tm Th
1 12 5
Direct
0.000 0.000 0.000
0.003 0.669 0.000
0.167 0.167 0.500
0.169 0.503 0.500
0.331 0.997 0.000
0.336 0.336 0.000
0.497 0.831 0.500
0.503 0.169 0.500
0.664 0.664 0.000
0.669 0.003 0.000
0.831 0.497 0.500
0.833 0.833 0.500
0.997 0.331 0.000
0.167 0.833 0.500
0.333 0.667 0.000
0.500 0.500 0.500
0.667 0.333 0.000
0.833 0.167 0.500
```

Properties
formation enthalpy at 0 K	0.026	eV/atom